No. 1
Compound: SrAuI2O
Source: the Alexandria database
Functional: PBE
Structure: optimized geometry

abc: 6.4672 6.4672 4.2226
angles: 90.00 90.00 90.00
Closest atoms and distances in Å follow each position.
Atoms (fractional coordinates):
Au 0.5000 0.5000 0.5000  8 I 3.86, 2 Au 4.22
I 0.0000 0.5000 0.0000  2 Sr 3.23
I 0.5000 0.0000 0.0000  2 Sr 3.23
Sr 0.0000 0.0000 0.0000  2 O 2.11
O 0.0000 0.0000 0.5000  2 Sr 2.11

- SG = P4/mmm, No. 123
- total magnetization (μB/f.u.) = 0.00
- offset from the most stable computed form (meV per atom) = 314.1
- theoretical density (g/cm3) = 5.21
- formation energy (no corrections) (meV per atom) = -273



No. 2
Compound: Zr2ZnHgH
Source: the Alexandria database
Functional: PBE
Structure: optimized geometry

abc: 4.3703 4.3703 4.2965
angles: 90.00 90.00 90.00
Closest atoms and distances in Å follow each position.
Atoms (fractional coordinates):
Hg 0.5000 0.5000 0.5000  8 Zr 3.06, 4 Zn 3.09
H 0.0000 0.0000 0.0000  2 Zn 2.15, 4 Zr 2.19
Zr 0.5000 0.0000 0.0000  2 H 2.19
Zr 0.0000 0.5000 0.0000  2 H 2.19
Zn 0.0000 0.0000 0.5000  2 H 2.15

- SG = P4/mmm, No. 123
- total magnetization (μB/f.u.) = 0.00
- offset from the most stable computed form (meV per atom) = 0.0
- theoretical density (g/cm3) = 9.09



No. 3
Compound: CeSmLuIn
Source: the Alexandria database
Functional: PBE
Structure: optimized geometry

abc: 5.3958 5.3958 5.3958
angles: 60.00 60.00 60.00
Closest atoms and distances in Å follow each position.
Atoms (fractional coordinates):
Lu 0.0000 0.0000 0.0000  4 In 3.30, 4 Ce 3.30
Ce 0.7500 0.7500 0.7500  4 Sm 3.30, 4 Lu 3.30
In 0.2500 0.2500 0.2500  4 Sm 3.30, 4 Lu 3.30
Sm 0.5000 0.5000 0.5000  4 In 3.30, 4 Ce 3.30

- SG = F-43m, No. 216
- total magnetization (μB/f.u.) = 0.00
- formation energy from the elements (eV/f.u.) = -0.25
- theoretical density (g/cm3) = 8.67



No. 4
Compound: NpGa3Ir2
Source: the Alexandria database
Functional: PBE
Structure: optimized geometry

abc: 4.0656 8.7104 9.5819
angles: 103.25 90.00 103.50
Closest atoms and distances in Å follow each position.
Atoms (fractional coordinates):
Ga 0.2209 0.4418 0.3724  4 Ir 2.53-2.68, 2 Ga 2.76
Ga 0.5000 0.0000 0.5000  4 Ir 2.51-2.79, 4 Ga 2.68
Ga 0.6476 0.2953 0.9289  4 Ir 2.48-2.60, 1 Ga 2.53
Ga 0.9519 0.9038 0.6426  4 Ir 2.53-2.60, 2 Ga 2.68
Ga 0.3524 0.7047 0.0711  4 Ir 2.48-2.60, 1 Ga 2.53
Ga 0.0481 0.0962 0.3574  4 Ir 2.53-2.60, 2 Ga 2.68
Ga 0.7791 0.5582 0.6276  4 Ir 2.53-2.68, 2 Ga 2.76
Ga 0.6480 0.2961 0.1928  3 Ga 2.53-2.76, 4 Ir 2.56-2.61
Ga 0.3520 0.7039 0.8072  3 Ga 2.53-2.76, 4 Ir 2.56-2.61
Ir 0.4961 0.9922 0.2074  4 Ga 2.48-2.61
Ir 0.7915 0.5830 0.9117  6 Ga 2.48-2.68
Ir 0.2085 0.4170 0.0883  6 Ga 2.48-2.68
Ir 0.6405 0.2810 0.4560  7 Ga 2.51-2.67
Ir 0.3595 0.7190 0.5440  7 Ga 2.51-2.67
Ir 0.5039 0.0078 0.7926  4 Ga 2.48-2.61
Np 0.0000 0.0000 0.0000  4 Ir 2.85
Np 0.8500 0.7000 0.3113  2 Ir 2.99, 7 Ga 3.08-3.34
Np 0.1500 0.3000 0.6887  2 Ir 2.99, 7 Ga 3.08-3.34

- SG = C2/m, No. 12
- total magnetization (μB/f.u.) = 3.57
- formation energy from the elements (eV/f.u.) = -2.24
- theoretical density (g/cm3) = 12.90



No. 5
Compound: AlBiB2
Source: the Alexandria database
Functional: PBE
Structure: optimized geometry

abc: 4.9341 4.9341 6.8424
angles: 68.87 68.87 90.00
Closest atoms and distances in Å follow each position.
Atoms (fractional coordinates):
Bi 0.7500 0.2500 0.5000  4 B 2.41
Bi 0.0000 0.0000 0.0000  4 B 2.41
Al 0.5000 0.5000 0.0000  4 B 2.17
Al 0.2500 0.7500 0.5000  4 B 2.17
B 0.5806 0.1250 0.2500  2 Al 2.17, 2 Bi 2.41
B 0.1694 0.6250 0.2500  2 Al 2.17, 2 Bi 2.41
B 0.3750 0.4194 0.7500  2 Al 2.17, 2 Bi 2.41
B 0.8750 0.8306 0.7500  2 Al 2.17, 2 Bi 2.41

- SG = I-42d, No. 122
- total magnetization (μB/f.u.) = 0.00
- offset from the most stable computed form (meV per atom) = 0.0
- formation energy from the elements (eV/f.u.) = 3.58
- theoretical density (g/cm3) = 5.97



No. 6
Compound: YEr
Source: the Alexandria database
Functional: PBE
Structure: optimized geometry

abc: 3.5317 5.0044 7.0876
angles: 90.00 90.00 90.00
Closest atoms and distances in Å follow each position.
Atoms (fractional coordinates):
Y 0.2499 0.7500 0.6268  6 Er 3.52-3.57, 6 Y 3.53-3.55
Y 0.7501 0.2500 0.3732  6 Er 3.52-3.57, 6 Y 3.53-3.55
Er 0.7499 0.2500 0.8769  6 Y 3.52-3.57, 6 Er 3.52-3.53
Er 0.2501 0.7500 0.1231  6 Y 3.52-3.57, 6 Er 3.52-3.53

- SG = Pmmn, No. 59
- total magnetization (μB/f.u.) = 0.00
- offset from the most stable computed form (meV per atom) = 17.8
- formation energy from the elements (eV/f.u.) = 0.04
- theoretical density (g/cm3) = 6.79



No. 7
Compound: MnP2W
Source: the Alexandria database
Functional: PBE
Structure: optimized geometry

abc: 3.4766 3.4766 11.8718
angles: 90.00 90.00 120.00
Closest atoms and distances in Å follow each position.
Atoms (fractional coordinates):
P 0.3333 0.6667 0.4364  3 Mn 2.08
P 0.6667 0.3333 0.9364  3 Mn 2.08
P 0.0000 0.0000 0.6773  1 Mn 2.32, 3 W 2.51
P 0.0000 0.0000 0.1773  1 Mn 2.32, 3 W 2.51
Mn 0.0000 0.0000 0.9816  4 P 2.08-2.32
Mn 0.0000 0.0000 0.4816  4 P 2.08-2.32
W 0.3333 0.6667 0.8046  6 P 2.51-2.54
W 0.6667 0.3333 0.3046  6 P 2.51-2.54

- SG = P6_3mc, No. 186
- total magnetization (μB/f.u.) = 0.00
- formation energy from the elements (eV/f.u.) = -0.57
- theoretical density (g/cm3) = 8.04



No. 8
Compound: NaPuTlIn
Source: the Alexandria database
Functional: PBE
Structure: optimized geometry

abc: 5.3599 5.3599 5.3599
angles: 60.00 60.00 60.00
Closest atoms and distances in Å follow each position.
Atoms (fractional coordinates):
Na 0.0000 0.0000 0.0000  4 Tl 3.28, 4 In 3.28
In 0.7500 0.7500 0.7500  4 Pu 3.28, 4 Na 3.28
Tl 0.2500 0.2500 0.2500  4 Pu 3.28, 4 Na 3.28
Pu 0.5000 0.5000 0.5000  4 Tl 3.28, 4 In 3.28

- SG = F-43m, No. 216
- total magnetization (μB/f.u.) = 5.59
- formation energy from the elements (eV/f.u.) = -0.15
- theoretical density (g/cm3) = 8.94



No. 9
Compound: Hf8IrN2
Source: the Alexandria database
Functional: PBE
Structure: optimized geometry

abc: 4.5404 7.1239 7.1239
angles: 73.00 85.75 85.75
Closest atoms and distances in Å follow each position.
Atoms (fractional coordinates):
Hf 0.7780 0.2239 0.2239  2 N 2.16-2.38
Hf 0.7281 0.6750 0.0953  1 N 2.18
Hf 0.7369 0.5916 0.5916  1 N 2.12
Hf 0.2220 0.7761 0.7761  2 N 2.16-2.38
Hf 0.2719 0.3250 0.9047  1 N 2.18
Hf 0.7281 0.0953 0.6750  1 N 2.18
Hf 0.2631 0.4084 0.4084  1 N 2.12
Hf 0.2719 0.9047 0.3250  1 N 2.18
N 0.3023 0.2223 0.2223  4 Hf 2.12-2.18
N 0.6977 0.7777 0.7777  4 Hf 2.12-2.18
Ir 0.0000 0.0000 0.0000  6 Hf 2.59-2.67

- SG = C2/m, No. 12
- total magnetization (μB/f.u.) = 0.00
- theoretical density (g/cm3) = 12.47
- formation energy (no corrections) (meV per atom) = -344



No. 10
Compound: Tm2HgHPd6
Source: the Alexandria database
Functional: PBE
Structure: optimized geometry

abc: 6.9942 5.7094 7.2042
angles: 113.20 133.65 90.10
Closest atoms and distances in Å follow each position.
Atoms (fractional coordinates):
Pd 0.8505 0.8017 0.6009  1 H 1.98
Pd 0.2892 0.3340 0.1595  1 H 2.02
Pd 0.7106 0.6668 0.8401  1 H 2.02
Pd 0.7100 0.1743 0.8408  1 H 2.03
Pd 0.2898 0.8265 0.1588  1 H 2.03
Pd 0.1493 0.1991 0.3987  1 H 1.98
Tm 0.1740 0.7325 0.4644  9 Pd 2.87-3.07, 1 Hg 3.14
Tm 0.8258 0.2683 0.5352  9 Pd 2.87-3.07, 1 Hg 3.14
Hg 0.4999 0.5004 0.9998  6 Pd 2.68-2.76
H 0.0000 0.0004 0.9998  6 Pd 1.98-2.03

- SG = P-1, No. 2
- total magnetization (μB/f.u.) = 0.00
- DFT total energy (eV/atom) = -4.957
- theoretical density (g/cm3) = 11.22



No. 11
Compound: CsVFe2
Source: the Alexandria database
Functional: PBE
Structure: optimized geometry

abc: 4.7610 4.7610 4.7610
angles: 60.00 60.00 60.00
Closest atoms and distances in Å follow each position.
Atoms (fractional coordinates):
Fe 0.2500 0.2500 0.2500  4 Cs 2.92, 4 V 2.92
Fe 0.7500 0.7500 0.7500  4 V 2.92, 4 Cs 2.92
Cs 0.5000 0.5000 0.5000  8 Fe 2.92
V 0.0000 0.0000 0.0000  8 Fe 2.92

- SG = Fm-3m, No. 225
- total magnetization (μB/f.u.) = 2.17
- formation energy from the elements (eV/f.u.) = 6.53
- theoretical density (g/cm3) = 6.43



No. 12
Compound: Ce5OsRu2
Source: the Alexandria database
Functional: PBE
Structure: optimized geometry

abc: 5.4774 6.7370 13.6537
angles: 90.00 90.00 113.99
Closest atoms and distances in Å follow each position.
Atoms (fractional coordinates):
Ce 0.7370 0.4739 0.2500  2 Os 2.76, 2 Ru 2.93
Ce 0.0462 0.0923 0.3782  2 Ru 2.52-2.81, 1 Os 2.67
Ce 0.3399 0.6798 0.4321  3 Ru 2.74-2.96, 1 Os 2.96
Ce 0.6601 0.3202 0.9321  3 Ru 2.74-2.96, 1 Os 2.96
Ce 0.2630 0.5261 0.7500  2 Os 2.76, 2 Ru 2.93
Ce 0.6601 0.3202 0.5679  3 Ru 2.74-2.96, 1 Os 2.96
Ce 0.9538 0.9077 0.6218  2 Ru 2.52-2.81, 1 Os 2.67
Ce 0.0462 0.0923 0.1218  2 Ru 2.52-2.81, 1 Os 2.67
Ce 0.3399 0.6798 0.0679  3 Ru 2.74-2.96, 1 Os 2.96
Ce 0.9538 0.9077 0.8782  2 Ru 2.52-2.81, 1 Os 2.67
Os 0.7900 0.5801 0.7500  6 Ce 2.67-2.96
Os 0.2100 0.4199 0.2500  6 Ce 2.67-2.96
Ru 0.8525 0.7050 0.0625  4 Ce 2.52-2.81
Ru 0.1475 0.2950 0.9375  4 Ce 2.52-2.81
Ru 0.8525 0.7050 0.4375  4 Ce 2.52-2.81
Ru 0.1475 0.2950 0.5625  4 Ce 2.52-2.81

- SG = Cmcm, No. 63
- total magnetization (μB/f.u.) = 2.66
- formation energy from the elements (eV/f.u.) = -0.87
- theoretical density (g/cm3) = 7.89